Entry 1:
First-principles (GGA-PBE) data for BaOsAu after structural relaxation, as listed in OQMD via LeMat-Bulk. Values from VASP.

```
&SYSTEM
  ibrav = 0, nat = 3, ntyp = 3
/
ATOMIC_SPECIES
Ba 137.33 Ba.upf
Os 190.23 Os.upf
Au 196.97 Au.upf
CELL_PARAMETERS angstrom
0.0000 3.4258 3.4258
3.4258 0.0000 3.4258
3.4258 3.4258 0.0000
ATOMIC_POSITIONS crystal
Ba 0.0000 0.0000 0.0000
Os 0.7500 0.7500 0.7500
Au 0.5000 0.5000 0.5000
```

Space-group type: F-43m
Magnetization, μB per atom: 0.33

***

Entry 2:
First-principles (GGA-PBE) data for BeSiW after structural relaxation, as listed in OQMD via LeMat-Bulk. Values from VASP.

```
&SYSTEM
  ibrav = 0, nat = 3, ntyp = 3
/
ATOMIC_SPECIES
Be 9.01 Be.upf
Si 28.09 Si.upf
W 183.84 W.upf
CELL_PARAMETERS angstrom
0.0000 2.8487 2.8487
2.8487 0.0000 2.8487
2.8487 2.8487 0.0000
ATOMIC_POSITIONS crystal
Be 0.0000 0.0000 0.0000
Si 0.5000 0.5000 0.5000
W 0.2500 0.2500 0.2500
```

Space-group type: F-43m
Magnetization, μB per atom: 0.00

***

Entry 3:
First-principles (GGA-PBE) data for AlZnCuHg after structural relaxation, as listed in OQMD via LeMat-Bulk. Values from VASP.

```
&SYSTEM
  ibrav = 0, nat = 4, ntyp = 4
/
ATOMIC_SPECIES
Al 26.98 Al.upf
Zn 65.41 Zn.upf
Cu 63.55 Cu.upf
Hg 200.59 Hg.upf
CELL_PARAMETERS angstrom
0.0000 3.2242 3.2242
3.2242 0.0000 3.2242
3.2242 3.2242 0.0000
ATOMIC_POSITIONS crystal
Al 0.0000 0.0000 0.0000
Zn 0.7500 0.7500 0.7500
Cu 0.2500 0.2500 0.2500
Hg 0.5000 0.5000 0.5000
```

Space-group type: F-43m

***

Entry 4:
First-principles (GGA-PBE) data for GdDyGa2Ir4 after structural relaxation, as listed in OQMD via LeMat-Bulk. Values from VASP.

```
&SYSTEM
  ibrav = 0, nat = 8, ntyp = 4
/
ATOMIC_SPECIES
Gd 157.25 Gd.upf
Dy 162.50 Dy.upf
Ga 69.72 Ga.upf
Ir 192.22 Ir.upf
CELL_PARAMETERS angstrom
4.5990 0.0000 0.0000
0.0000 4.5990 0.0000
0.0000 0.0000 6.5093
ATOMIC_POSITIONS crystal
Gd 0.0000 0.0000 0.0000
Dy 0.5000 0.5000 0.5000
Ga 0.0000 0.0000 0.5000
Ga 0.5000 0.5000 0.0000
Ir 0.0000 0.5000 0.2516
Ir 0.0000 0.5000 0.7484
Ir 0.5000 0.0000 0.2516
Ir 0.5000 0.0000 0.7484
```

Space-group type: P4/mmm
Magnetization, μB per atom: 0.00

***

The calculation returns the following offset from the most stable computed form values, one per record and in order: 0 190 9 38 meV per atom.